Below is crystalline PmZn2Cu5 at its relaxed geometry, with properties calculated at the PBE level.

Cell lengths 6.288, 6.288, 6.288 Å; angles 144.95, 114.42, 76.58 degrees
Element x y z (fractional)
Pm 0.000 0.000 0.000
Zn 0.250 0.750 0.500
Zn 0.750 0.250 0.500
Cu 0.187 0.371 0.816
Cu 0.445 0.629 0.816
Cu 0.500 0.000 0.500
Cu 0.555 0.371 0.184
Cu 0.813 0.629 0.184

Below is crystalline ZrNbNi3 at its relaxed geometry, with properties calculated at the PBE level.

E above lowest polymorph: 0.000 eV/atom

Cell lengths 4.488, 4.488, 4.488 Å; angles 90.00, 90.00, 90.00 degrees
Element x y z (fractional)
Zr 0.000 0.000 0.000
Nb 0.500 0.500 0.500
Ni 0.000 0.500 0.500
Ni 0.500 0.000 0.500
Ni 0.500 0.500 0.000

no.,ΔH_f (0 K) (eV/atom)
1,-0.08
2,0.75